(1)
A plane-wave DFT calculation with PBE was carried out for Li2HfS4 after structural relaxation.

```
Li2HfS4
1.0
-0.446 -1.893 3.104
4.986 -3.389 -3.512
8.137 6.594 5.189
S Hf Li
8 2 4
direct
0.830 0.660 0.161
0.080 0.159 0.250
0.170 0.340 0.661
0.830 0.660 0.339
0.170 0.340 0.839
0.920 0.841 0.750
0.500 0.000 0.500
0.500 0.000 0.000
0.550 0.099 0.750
0.450 0.901 0.250
0.096 0.191 0.446
0.096 0.191 0.054
0.904 0.809 0.554
0.904 0.809 0.946
```

Calculated values
For the total magnetization, the calculation gives 0.00 Bohr magnetons per cell. The raw total energy comes out at -5.433 eV per atom.



(2)
A plane-wave DFT calculation with PBE was carried out for Sm2YTl2Zn2 after structural relaxation.

```
Sm2YTl2Zn2
1.0
4.749 0.000 0.000
2.375 4.113 0.000
2.375 1.371 9.370
Sm Tl Zn Y
2 2 2 1
direct
0.126 0.126 0.621
0.874 0.874 0.379
0.264 0.264 0.208
0.736 0.736 0.792
0.391 0.391 0.826
0.609 0.609 0.174
0.000 0.000 0.000
```

Calculated values
For the total magnetization, the calculation gives 0.00 Bohr magnetons per cell. The value obtained for the density of states at the Fermi level is 3.3 states/eV/cell. The value obtained for the energy of formation is -0.1792 eV/atom.



(3)
A plane-wave DFT calculation with PBE was carried out for NbMo2Pt6 after structural relaxation.

```
NbMo2Pt6
1.0
0.603 -0.352 -3.944
4.608 -2.830 0.956
-6.295 -4.427 1.466
Pt Nb Mo
6 1 2
direct
0.512 0.261 0.023
0.512 0.763 0.023
0.321 0.075 0.642
0.696 0.434 0.393
0.696 0.958 0.393
0.321 0.567 0.642
0.903 0.903 0.806
0.117 0.617 0.234
0.922 0.422 0.844
```

Calculated values
For the total magnetization, the calculation gives 0.00 Bohr magnetons per cell. The value obtained for the density of states at the Fermi level is 7.0 states/eV/cell. The value obtained for the energy of formation is -0.1412 eV/atom.



(4)
A plane-wave DFT calculation with PBE was carried out for La3Nd7Sm2 after structural relaxation.

```
La3Nd7Sm2
1.0
-3.042 -2.056 0.224
1.648 -2.982 -4.980
8.187 -10.475 15.039
Nd La Sm
7 3 2
direct
0.000 0.000 0.000
0.000 0.454 0.145
0.500 0.984 0.177
0.500 0.016 0.823
0.000 0.546 0.855
0.500 0.281 0.537
0.500 0.719 0.463
0.000 0.859 0.634
0.500 0.500 0.000
0.000 0.141 0.366
0.500 0.422 0.706
0.500 0.578 0.294
```

Calculated values
For the total magnetization, the calculation gives 0.00 Bohr magnetons per cell. The distance to the lowest polymorph of the same formula is 0.000 eV per formula unit. The value obtained for the density of states at the Fermi level is 17.3 states/eV/cell. The value obtained for the energy of formation is 0.0760 eV/atom.



(5)
A plane-wave DFT calculation with PBE was carried out for CdOs2Ru after structural relaxation.

```
CdOs2Ru
1.0
-2.015 1.873 0.125
-0.422 -0.709 3.819
3.919 4.136 1.201
Os Ru Cd
2 1 1
direct
0.000 0.000 0.031
0.000 0.000 0.469
0.500 0.500 0.250
0.500 0.500 0.750
```

Calculated values
For the total magnetization, the calculation gives 0.00 Bohr magnetons per cell. The value obtained for the density of states at the Fermi level is 4.1 states/eV/cell. The value obtained for the energy of formation is 0.5338 eV/atom.



(6)
A plane-wave DFT calculation with PBE was carried out for Nd2Y6ErTm3 after structural relaxation.

```
Nd2Y6ErTm3
1.0
-0.983 5.428 2.770
0.921 -5.071 3.397
11.459 1.956 -2.053
Er Tm Y Nd
1 3 6 2
direct
0.000 0.000 0.000
0.500 0.500 0.500
0.834 0.166 0.500
0.166 0.834 0.500
0.915 0.583 0.747
0.085 0.417 0.253
0.417 0.085 0.253
0.247 0.247 0.746
0.583 0.915 0.747
0.753 0.753 0.254
0.333 0.667 0.000
0.667 0.333 0.000
```

Calculated values
For the total magnetization, the calculation gives 0.00 Bohr magnetons per cell. The value obtained for the density of states at the Fermi level is 17.5 states/eV/cell. The value obtained for the energy of formation is 0.0236 eV/atom.



(7)
A plane-wave DFT calculation with PBE was carried out for ZrScCd2 after structural relaxation.

```
ZrScCd2
1.0
5.016 0.000 0.000
2.508 4.344 0.000
2.508 1.448 4.095
Zr Sc Cd
1 1 2
direct
0.750 0.750 0.750
0.500 0.500 0.500
0.250 0.250 0.250
0.000 0.000 0.000
```

Calculated values
For the total magnetization, the calculation gives 2.87 Bohr magnetons per cell. The distance to the lowest polymorph of the same formula is 1.026 eV per formula unit. The value obtained for the density of states at the Fermi level is 5.2 states/eV/cell. The value obtained for the energy of formation is 0.0813 eV/atom.



(8)
A plane-wave DFT calculation with PBE was carried out for TaTlPb2 after structural relaxation.

```
TaTlPb2
1.0
-2.471 -0.583 -5.366
2.718 -3.809 -3.652
-1.948 -0.157 5.605
Tl Pb Ta
1 2 1
direct
0.750 0.250 0.500
0.500 0.500 0.000
0.000 0.000 0.000
0.250 0.750 0.500
```

Calculated values
For the total magnetization, the calculation gives 0.00 Bohr magnetons per cell. The distance to the lowest polymorph of the same formula is 1.471 eV per formula unit. The value obtained for the density of states at the Fermi level is 2.2 states/eV/cell. The value obtained for the energy of formation is 0.6925 eV/atom.



Question: total magnetization of number 8 (TaTlPb2)?
Answer: 0.00 Bohr magnetons per cell



Question: Which formula does entry 5 have?
Answer: CdOs2Ru



Question: Among the records above, which one has the highest total magnetization?
Answer: ZrScCd2